ZrMnSi2: relaxed, PBEsol.

Fermi-level density of states ... 0.713 states/eV/atom
Formation energy without anion corrections ... -0.622 eV/atom
ρ ... 5.803 g/cm³

Lattice parameters (Å, degrees): 4.987 4.987 4.987 45.69 45.69 45.69
Fractional positions:
Zr1 0.000 0.000 0.000
Mn1 0.500 0.500 0.500
Si1 0.213 0.213 0.213
Si2 0.787 0.787 0.787